# 1
# CsHgN2O (GGA-PBEsol, relaxed)
data_CsHgN2O
_chemical_formula_sum 'Cs1 Hg1 N2 O1'
_cell_length_a 4.4140
_cell_length_b 4.4140
_cell_length_c 4.2484
_cell_angle_alpha 90.00
_cell_angle_beta 90.00
_cell_angle_gamma 90.00
_symmetry_space_group_name_H-M 'P 1'
_symmetry_Int_Tables_number 1
loop_
_symmetry_equiv_pos_as_xyz
'x,y,z'
loop_
_atom_site_label
_atom_site_type_symbol
_atom_site_fract_x
_atom_site_fract_y
_atom_site_fract_z
Cs1 Cs 0.0000 0.0000 0.0000
Hg1 Hg 0.5000 0.5000 0.5000
N1 N 0.0000 0.5000 0.0000
N2 N 0.5000 0.0000 0.0000
O1 O 0.0000 0.0000 0.5000
# V = 82.8 Å³/cell
# Formation energy (no corrections) = 2190 meV/atom
# Total magnetization = 0.0 Bohr magnetons per cell

=====

# 2
# Cs2NaHoCl6 (GGA-PBEsol, relaxed)
data_Cs2NaHoCl6
_chemical_formula_sum 'Cs2 Na1 Ho1 Cl6'
_cell_length_a 7.5167
_cell_length_b 7.5167
_cell_length_c 7.5167
_cell_angle_alpha 60.00
_cell_angle_beta 60.00
_cell_angle_gamma 60.00
_symmetry_space_group_name_H-M 'P 1'
_symmetry_Int_Tables_number 1
loop_
_symmetry_equiv_pos_as_xyz
'x,y,z'
loop_
_atom_site_label
_atom_site_type_symbol
_atom_site_fract_x
_atom_site_fract_y
_atom_site_fract_z
Cs1 Cs 0.2500 0.2500 0.2500
Cs2 Cs 0.7500 0.7500 0.7500
Na1 Na 0.0000 0.0000 0.0000
Ho1 Ho 0.5000 0.5000 0.5000
Cl1 Cl 0.2563 0.2563 0.7437
Cl2 Cl 0.2563 0.7437 0.2563
Cl3 Cl 0.2563 0.7437 0.7437
Cl4 Cl 0.7437 0.2563 0.2563
Cl5 Cl 0.7437 0.2563 0.7437
Cl6 Cl 0.7437 0.7437 0.2563
# V = 300.3 Å³/cell
# Formation energy (no corrections) = -2140 meV/atom
# Total magnetization = 0.0 Bohr magnetons per cell

=====

# 3
# NiAgP2 (GGA-PBEsol, relaxed)
data_NiAgP2
_chemical_formula_sum 'Ni1 Ag1 P2'
_cell_length_a 3.9787
_cell_length_b 3.9787
_cell_length_c 3.4918
_cell_angle_alpha 90.00
_cell_angle_beta 90.00
_cell_angle_gamma 90.00
_symmetry_space_group_name_H-M 'P 1'
_symmetry_Int_Tables_number 1
loop_
_symmetry_equiv_pos_as_xyz
'x,y,z'
loop_
_atom_site_label
_atom_site_type_symbol
_atom_site_fract_x
_atom_site_fract_y
_atom_site_fract_z
Ni1 Ni 0.0000 0.0000 0.0000
Ag1 Ag 0.5000 0.5000 0.0000
P1 P 0.0000 0.5000 0.5000
P2 P 0.5000 0.0000 0.5000
# V = 55.3 Å³/cell
# Total magnetization = 0.0 Bohr magnetons per cell
# Energy relative to the lowest polymorph listed for this composition = 0 meV/atom

=====

# 4
# Ta2OsPt (GGA-PBEsol, relaxed)
data_Ta2OsPt
_chemical_formula_sum 'Ta2 Os1 Pt1'
_cell_length_a 3.3221
_cell_length_b 3.3221
_cell_length_c 5.8693
_cell_angle_alpha 90.00
_cell_angle_beta 90.00
_cell_angle_gamma 90.00
_symmetry_space_group_name_H-M 'P 1'
_symmetry_Int_Tables_number 1
loop_
_symmetry_equiv_pos_as_xyz
'x,y,z'
loop_
_atom_site_label
_atom_site_type_symbol
_atom_site_fract_x
_atom_site_fract_y
_atom_site_fract_z
Ta1 Ta 0.0000 0.0000 0.0000
Ta2 Ta 0.5000 0.5000 0.2946
Os1 Os 0.0000 0.0000 0.5079
Pt1 Pt 0.5000 0.5000 0.7905
# V = 64.8 Å³/cell
# DFT total energy = -11.34 eV per atom
# Total magnetization = 0.0 Bohr magnetons per cell

=====

# 5
# Tc2AsAuO (GGA-PBEsol, relaxed)
data_Tc2AsAuO
_chemical_formula_sum 'Tc2 As1 Au1 O1'
_cell_length_a 4.0101
_cell_length_b 4.0101
_cell_length_c 4.3867
_cell_angle_alpha 90.00
_cell_angle_beta 90.00
_cell_angle_gamma 90.00
_symmetry_space_group_name_H-M 'P 1'
_symmetry_Int_Tables_number 1
loop_
_symmetry_equiv_pos_as_xyz
'x,y,z'
loop_
_atom_site_label
_atom_site_type_symbol
_atom_site_fract_x
_atom_site_fract_y
_atom_site_fract_z
Tc1 Tc 0.0000 0.5000 0.0000
Tc2 Tc 0.5000 0.0000 0.0000
As1 As 0.0000 0.0000 0.5000
Au1 Au 0.5000 0.5000 0.5000
O1 O 0.0000 0.0000 0.0000
# V = 70.5 Å³/cell
# Formation energy (no corrections) = 344 meV/atom
# Total magnetization = 0.6 Bohr magnetons per cell

=====

# 6
# Zn2AsAu (GGA-PBEsol, relaxed)
data_Zn2AsAu
_chemical_formula_sum 'Zn2 As1 Au1'
_cell_length_a 4.1307
_cell_length_b 4.1307
_cell_length_c 3.7789
_cell_angle_alpha 90.00
_cell_angle_beta 90.00
_cell_angle_gamma 90.00
_symmetry_space_group_name_H-M 'P 1'
_symmetry_Int_Tables_number 1
loop_
_symmetry_equiv_pos_as_xyz
'x,y,z'
loop_
_atom_site_label
_atom_site_type_symbol
_atom_site_fract_x
_atom_site_fract_y
_atom_site_fract_z
Zn1 Zn 0.0000 0.5000 0.0000
Zn2 Zn 0.5000 0.0000 0.0000
As1 As 0.0000 0.0000 0.5000
Au1 Au 0.5000 0.5000 0.5000
# V = 64.5 Å³/cell
# DFT total energy = -3.01 eV per atom
# Total magnetization = 0.0 Bohr magnetons per cell

=====

# 7
# CaMgSi2 (GGA-PBEsol, relaxed)
data_CaMgSi2
_chemical_formula_sum 'Ca1 Mg1 Si2'
_cell_length_a 5.4613
_cell_length_b 5.4613
_cell_length_c 5.4613
_cell_angle_alpha 135.73
_cell_angle_beta 135.73
_cell_angle_gamma 64.39
_symmetry_space_group_name_H-M 'P 1'
_symmetry_Int_Tables_number 1
loop_
_symmetry_equiv_pos_as_xyz
'x,y,z'
loop_
_atom_site_label
_atom_site_type_symbol
_atom_site_fract_x
_atom_site_fract_y
_atom_site_fract_z
Ca1 Ca 0.0000 0.0000 0.0000
Mg1 Mg 0.7500 0.2500 0.5000
Si1 Si 0.2500 0.7500 0.5000
Si2 Si 0.5000 0.5000 0.0000
# V = 78.3 Å³/cell
# Formation energy (no corrections) = -49 meV/atom
# Total magnetization = 0.0 Bohr magnetons per cell

=====

# 8
# CdIn2Rh (GGA-PBEsol, relaxed)
data_CdIn2Rh
_chemical_formula_sum 'Cd1 In2 Rh1'
_cell_length_a 9.1787
_cell_length_b 9.1787
_cell_length_c 9.1787
_cell_angle_alpha 20.04
_cell_angle_beta 20.04
_cell_angle_gamma 20.04
_symmetry_space_group_name_H-M 'P 1'
_symmetry_Int_Tables_number 1
loop_
_symmetry_equiv_pos_as_xyz
'x,y,z'
loop_
_atom_site_label
_atom_site_type_symbol
_atom_site_fract_x
_atom_site_fract_y
_atom_site_fract_z
Cd1 Cd 0.0000 0.0000 0.0000
In1 In 0.2396 0.2396 0.2396
In2 In 0.7604 0.7604 0.7604
Rh1 Rh 0.5000 0.5000 0.5000
# V = 79.4 Å³/cell
# DFT total energy = -3.90 eV per atom
# Total magnetization = 0.0 Bohr magnetons per cell

=====

# 9
# Y4CrW (GGA-PBEsol, relaxed)
data_Y4CrW
_chemical_formula_sum 'Y4 Cr1 W1'
_cell_length_a 5.9285
_cell_length_b 5.9285
_cell_length_c 5.9285
_cell_angle_alpha 60.00
_cell_angle_beta 60.00
_cell_angle_gamma 60.00
_symmetry_space_group_name_H-M 'P 1'
_symmetry_Int_Tables_number 1
loop_
_symmetry_equiv_pos_as_xyz
'x,y,z'
loop_
_atom_site_label
_atom_site_type_symbol
_atom_site_fract_x
_atom_site_fract_y
_atom_site_fract_z
Y1 Y 0.3761 0.3761 0.3761
Y2 Y 0.3761 0.3761 0.8716
Y3 Y 0.3761 0.8716 0.3761
Y4 Y 0.8716 0.3761 0.3761
Cr1 Cr 0.0000 0.0000 0.0000
W1 W 0.7500 0.7500 0.7500
# V = 147.3 Å³/cell
# DFT total energy = -7.34 eV per atom
# Total magnetization = 4.4 Bohr magnetons per cell

=====

# 10
# CaBe2Si (GGA-PBEsol, relaxed)
data_CaBe2Si
_chemical_formula_sum 'Ca1 Be2 Si1'
_cell_length_a 3.9754
_cell_length_b 3.9754
_cell_length_c 3.8320
_cell_angle_alpha 90.00
_cell_angle_beta 90.00
_cell_angle_gamma 90.00
_symmetry_space_group_name_H-M 'P 1'
_symmetry_Int_Tables_number 1
loop_
_symmetry_equiv_pos_as_xyz
'x,y,z'
loop_
_atom_site_label
_atom_site_type_symbol
_atom_site_fract_x
_atom_site_fract_y
_atom_site_fract_z
Ca1 Ca 0.0000 0.0000 0.0000
Be1 Be 0.0000 0.5000 0.5000
Be2 Be 0.5000 0.0000 0.5000
Si1 Si 0.5000 0.5000 0.0000
# V = 60.6 Å³/cell
# Formation energy (no corrections) = 351 meV/atom
# Total magnetization = 0.0 Bohr magnetons per cell

=====

# 11
# NbInPb2O6 (GGA-PBEsol, relaxed)
data_NbInPb2O6
_chemical_formula_sum 'Nb1 In1 Pb2 O6'
_cell_length_a 5.8060
_cell_length_b 5.8060
_cell_length_c 5.8060
_cell_angle_alpha 60.00
_cell_angle_beta 60.00
_cell_angle_gamma 60.00
_symmetry_space_group_name_H-M 'P 1'
_symmetry_Int_Tables_number 1
loop_
_symmetry_equiv_pos_as_xyz
'x,y,z'
loop_
_atom_site_label
_atom_site_type_symbol
_atom_site_fract_x
_atom_site_fract_y
_atom_site_fract_z
Nb1 Nb 0.0000 0.0000 0.0000
In1 In 0.5000 0.5000 0.5000
Pb1 Pb 0.2500 0.2500 0.2500
Pb2 Pb 0.7500 0.7500 0.7500
O1 O 0.2421 0.2421 0.7579
O2 O 0.2421 0.7579 0.2421
O3 O 0.2421 0.7579 0.7579
O4 O 0.7579 0.2421 0.2421
O5 O 0.7579 0.2421 0.7579
O6 O 0.7579 0.7579 0.2421
# V = 138.4 Å³/cell
# Formation energy (no corrections) = -1705 meV/atom
# Total magnetization = 0.0 Bohr magnetons per cell

=====

# 12
# Zn2RuRh (GGA-PBEsol, relaxed)
data_Zn2RuRh
_chemical_formula_sum 'Zn2 Ru1 Rh1'
_cell_length_a 4.2624
_cell_length_b 4.2624
_cell_length_c 2.8927
_cell_angle_alpha 90.00
_cell_angle_beta 90.00
_cell_angle_gamma 90.00
_symmetry_space_group_name_H-M 'P 1'
_symmetry_Int_Tables_number 1
loop_
_symmetry_equiv_pos_as_xyz
'x,y,z'
loop_
_atom_site_label
_atom_site_type_symbol
_atom_site_fract_x
_atom_site_fract_y
_atom_site_fract_z
Zn1 Zn 0.0000 0.5000 0.0000
Zn2 Zn 0.5000 0.0000 0.0000
Ru1 Ru 0.0000 0.0000 0.5000
Rh1 Rh 0.5000 0.5000 0.5000
# V = 52.6 Å³/cell
# DFT total energy = -5.44 eV per atom
# Total magnetization = 0.0 Bohr magnetons per cell

=====

- What is the V in the eleventh record?
  138.4 Å³/cell

=====

- What is the formula in the second record?
  Cs2NaHoCl6

=====

Please write out number 7 again, unchanged.
# CaMgSi2 (GGA-PBEsol, relaxed)
data_CaMgSi2
_chemical_formula_sum 'Ca1 Mg1 Si2'
_cell_length_a 5.4613
_cell_length_b 5.4613
_cell_length_c 5.4613
_cell_angle_alpha 135.73
_cell_angle_beta 135.73
_cell_angle_gamma 64.39
_symmetry_space_group_name_H-M 'P 1'
_symmetry_Int_Tables_number 1
loop_
_symmetry_equiv_pos_as_xyz
'x,y,z'
loop_
_atom_site_label
_atom_site_type_symbol
_atom_site_fract_x
_atom_site_fract_y
_atom_site_fract_z
Ca1 Ca 0.0000 0.0000 0.0000
Mg1 Mg 0.7500 0.2500 0.5000
Si1 Si 0.2500 0.7500 0.5000
Si2 Si 0.5000 0.5000 0.0000
# V = 78.3 Å³/cell
# Formation energy (no corrections) = -49 meV/atom
# Total magnetization = 0.0 Bohr magnetons per cell